(1)
8
Lattice="3.852 0.000 0.000 -1.926 3.336 0.000 0.000 0.000 14.082" Properties=species:S:1:pos:R:3 comment="GdY3Te2C2 PBE-GGA optimized geometry" e_tot_ry_per_atom=-0.51246 m_tot_mub_per_atom=0.00 pbc="T T T"
Gd 0.000 0.000 0.000
Y 0.000 0.000 4.418
Y 0.000 2.224 7.043
Y 0.000 2.224 11.431
Te 0.000 0.000 9.240
Te 0.000 2.224 2.230
C 1.926 1.112 5.735
C 1.926 1.112 12.754

---

(2)
4
Lattice="0.000 3.438 3.438 3.438 0.000 3.438 3.438 3.438 0.000" Properties=species:S:1:pos:R:3 comment="LiTlCdAg PBE-GGA optimized geometry" e_tot_ry_per_atom=-0.15670 pbc="T T T"
Li 0.000 0.000 0.000
Tl 5.157 5.157 5.157
Cd 1.719 1.719 1.719
Ag 3.438 3.438 3.438

---

(3)
10
Lattice="4.399 0.000 0.000 0.000 4.399 0.000 0.000 0.000 10.299" Properties=species:S:1:pos:R:3 comment="Ni2AgSb2 PBE-GGA optimized geometry" e_tot_ry_per_atom=-0.32231 m_tot_mub_per_atom=0.00 pbc="T T T"
Ni 1.100 1.100 1.271
Ni 1.100 3.299 5.149
Ni 3.299 1.100 5.149
Ni 3.299 3.299 9.028
Ag 1.100 1.100 6.838
Ag 3.299 3.299 3.461
Sb 1.100 1.100 3.733
Sb 1.100 3.299 0.000
Sb 3.299 1.100 0.000
Sb 3.299 3.299 6.565

---

(4)
18
Lattice="5.731 0.000 0.000 0.000 7.563 0.000 -2.431 0.000 9.569" Properties=species:S:1:pos:R:3 comment="RbCu3SnS4 PBE-GGA optimized geometry" e_tot_ry_per_atom=-0.29850 pbc="T T T"
Rb 0.254 1.891 3.540
Rb 3.047 5.672 6.029
Cu 1.705 4.330 0.215
Cu 1.705 7.014 0.215
Cu 1.775 5.672 2.471
Cu 1.526 1.891 7.098
Cu 1.595 0.549 9.354
Cu 1.595 3.233 9.354
Sn -1.231 1.891 7.531
Sn 4.531 5.672 2.038
S 0.093 1.891 0.160
S 0.138 5.672 4.008
S 0.258 3.868 7.589
S 0.258 7.476 7.589
S 3.042 0.087 1.980
S 3.042 3.695 1.980
S 3.163 1.891 5.561
S 3.208 5.672 9.409

---

(5)
10
Lattice="3.776 2.180 6.087 -3.776 2.180 6.087 0.000 -4.361 6.087" Properties=species:S:1:pos:R:3 comment="Rb2ScNiBr6 PBE-GGA optimized geometry" e_tot_ry_per_atom=-0.27332 m_tot_mub_per_atom=0.10 pbc="T T T"
Rb 0.000 0.000 0.000
Rb 0.000 0.000 9.122
Sc 0.000 0.000 13.697
Ni 0.000 0.000 4.568
Br -2.034 -0.822 6.078
Br -1.728 -3.009 9.139
Br 1.729 -1.351 6.078
Br -1.742 3.001 9.139
Br 0.305 2.173 6.078
Br 3.470 0.009 9.139

---

(6)
4
Lattice="0.000 3.428 3.428 3.428 0.000 3.428 3.428 3.428 0.000" Properties=species:S:1:pos:R:3 comment="YCuAgSn PBE-GGA optimized geometry" e_tot_ry_per_atom=-0.33780 m_tot_mub_per_atom=0.00 pbc="T T T"
Y 0.000 0.000 0.000
Cu 5.142 5.142 5.142
Ag 1.714 1.714 1.714
Sn 3.428 3.428 3.428

---

(7)
4
Lattice="4.314 0.000 0.000 0.000 2.278 5.748 0.000 -2.278 5.748" Properties=species:S:1:pos:R:3 comment="GdHoIn2 PBE-GGA optimized geometry" e_tot_ry_per_atom=-0.30154 m_tot_mub_per_atom=0.01 pbc="T T T"
Gd 0.000 0.000 0.000
Ho 2.157 0.000 8.305
In 0.000 0.000 3.156
In 2.157 0.000 5.134

---

(8)
9
Lattice="8.383 0.000 0.000 -4.192 7.260 0.000 0.000 0.000 3.142" Properties=species:S:1:pos:R:3 comment="NdAlPd PBE-GGA optimized geometry" e_tot_ry_per_atom=-0.35629 m_tot_mub_per_atom=0.00 pbc="T T T"
Nd -1.250 2.166 0.000
Nd 2.501 0.000 0.000
Nd 2.941 5.094 0.000
Al 0.000 0.000 1.571
Al 0.000 4.840 0.000
Al 4.192 2.420 0.000
Pd -2.608 4.517 1.571
Pd 1.584 2.743 1.571
Pd 5.216 0.000 1.571

---

(9)
4
Lattice="3.591 -2.380 0.000 3.591 2.380 0.000 -1.891 0.000 4.500" Properties=species:S:1:pos:R:3 comment="SiAu PBE-GGA optimized geometry" e_tot_ry_per_atom=-0.32151 pbc="T T T"
Si 1.074 0.000 0.520
Si 4.217 0.000 3.980
Au 0.651 0.000 3.028
Au 4.639 0.000 1.472

---

(10)
4
Lattice="0.000 3.605 3.605 3.605 0.000 3.605 3.605 3.605 0.000" Properties=species:S:1:pos:R:3 comment="YOsPb2 PBE-GGA optimized geometry" e_tot_ry_per_atom=-0.43715 m_tot_mub_per_atom=0.00 pbc="T T T"
Y 0.000 0.000 0.000
Os 1.803 1.803 1.803
Pb 3.605 3.605 3.605
Pb 5.408 5.408 5.408

---

(11)
4
Lattice="0.000 3.064 3.064 3.064 0.000 3.064 3.064 3.064 0.000" Properties=species:S:1:pos:R:3 comment="LiHfFeGe PBE-GGA optimized geometry" e_tot_ry_per_atom=-0.45856 m_tot_mub_per_atom=0.23 pbc="T T T"
Li 0.000 0.000 0.000
Hf 1.532 1.532 1.532
Fe 4.597 4.597 4.597
Ge 3.064 3.064 3.064

---

(12)
3
Lattice="0.000 3.135 3.135 3.135 0.000 3.135 3.135 3.135 0.000" Properties=species:S:1:pos:R:3 comment="CuSnW PBE-GGA optimized geometry" e_tot_ry_per_atom=-0.43383 m_tot_mub_per_atom=0.52 pbc="T T T"
Cu 0.000 0.000 0.000
Sn 3.135 3.135 3.135
W 1.568 1.568 1.568

---

(13)
8
Lattice="2.687 -5.314 0.000 2.687 5.314 0.000 0.000 0.000 3.754" Properties=species:S:1:pos:R:3 comment="Cu3Ag PBE-GGA optimized geometry" e_form_mev_per_atom=78 e_tot_ry_per_atom=-0.25105 pbc="T T T"
Cu 1.344 2.657 1.877
Cu 2.687 4.041 0.000
Cu 1.260 0.000 1.877
Cu 1.344 -2.657 1.877
Cu 4.115 0.000 1.877
Cu 2.687 -4.041 0.000
Ag 2.687 1.373 0.000
Ag 2.687 -1.373 0.000

---

(14)
3
Lattice="0.000 3.143 3.143 3.143 0.000 3.143 3.143 3.143 0.000" Properties=species:S:1:pos:R:3 comment="TaNbAg PBE-GGA optimized geometry" e_form_mev_per_atom=1087 e_tot_ry_per_atom=-0.52701 m_tot_mub_per_atom=0.01 pbc="T T T"
Ta 0.000 0.000 0.000
Nb 3.143 3.143 3.143
Ag 4.714 4.714 4.714

---

(15)
11
Lattice="6.311 0.000 0.000 2.893 5.681 0.000 3.085 1.380 6.040" Properties=species:S:1:pos:R:3 comment="ZrS4Cl2F4 PBE-GGA optimized geometry" e_tot_ry_per_atom=-0.35830 m_tot_mub_per_atom=0.00 pbc="T T T"
Zr 0.000 0.000 0.000
S 4.876 2.928 2.792
S 5.958 4.361 1.870
S 6.331 2.699 4.170
S 7.413 4.132 3.248
Cl 1.704 1.380 1.156
Cl 10.585 5.681 4.884
F 3.647 4.021 0.892
F 4.388 1.133 4.491
F 7.901 5.927 1.550
F 8.642 3.040 5.148

---

(16)
4
Lattice="0.000 3.236 3.236 3.236 0.000 3.236 3.236 3.236 0.000" Properties=species:S:1:pos:R:3 comment="CuRePtPb PBE-GGA optimized geometry" e_tot_ry_per_atom=-0.43005 m_tot_mub_per_atom=0.28 pbc="T T T"
Cu 0.000 0.000 0.000
Re 3.236 3.236 3.236
Pt 1.618 1.618 1.618
Pb 4.854 4.854 4.854

---

(17)
8
Lattice="2.050 -9.310 0.000 2.050 9.310 0.000 0.000 0.000 5.455" Properties=species:S:1:pos:R:3 comment="GdHoGe2 PBE-GGA optimized geometry" e_tot_ry_per_atom=-0.38234 m_tot_mub_per_atom=0.00 pbc="T T T"
Gd 2.050 7.848 4.091
Gd 2.050 -7.848 1.364
Ho 2.050 3.768 4.091
Ho 2.050 -3.768 1.364
Ge 2.050 3.501 1.364
Ge 2.050 0.792 4.091
Ge 2.050 -0.792 1.364
Ge 2.050 -3.501 4.091

---

(18)
8
Lattice="4.369 0.000 0.000 -2.185 3.784 0.000 0.000 0.000 9.011" Properties=species:S:1:pos:R:3 comment="HoLuGa2Pt4 PBE-GGA optimized geometry" e_tot_ry_per_atom=-0.44121 m_tot_mub_per_atom=0.00 pbc="T T T"
Ho 0.000 0.000 0.000
Lu 2.185 1.261 4.505
Ga 0.000 2.523 2.258
Ga 0.000 2.523 6.753
Pt 0.000 0.000 3.060
Pt 0.000 0.000 5.950
Pt 2.185 1.261 1.496
Pt 2.185 1.261 7.514

---

(19)
9
Lattice="5.779 0.000 0.000 -2.890 5.005 0.000 0.000 0.000 8.865" Properties=species:S:1:pos:R:3 comment="LiTe5Au3 PBE-GGA optimized geometry" e_tot_ry_per_atom=-0.21908 pbc="T T T"
Li 0.000 0.000 0.000
Te 0.000 0.000 4.432
Te 0.000 3.337 1.361
Te 0.000 3.337 7.504
Te 2.890 1.668 1.361
Te 2.890 1.668 7.504
Au -1.445 2.503 4.432
Au 2.890 0.000 4.432
Au 1.445 2.503 4.432

---

(20)
4
Lattice="0.000 3.244 3.244 3.244 0.000 3.244 3.244 3.244 0.000" Properties=species:S:1:pos:R:3 comment="BeCdSbIr PBE-GGA optimized geometry" e_tot_ry_per_atom=-0.29334 m_tot_mub_per_atom=0.00 pbc="T T T"
Be 0.000 0.000 0.000
Cd 1.622 1.622 1.622
Sb 3.244 3.244 3.244
Ir 4.866 4.866 4.866

---

(21)
9
Lattice="9.157 0.000 0.000 -4.578 7.930 0.000 0.000 0.000 3.752" Properties=species:S:1:pos:R:3 comment="Ho6Er2Te PBE-GGA optimized geometry" e_tot_ry_per_atom=-0.34499 m_tot_mub_per_atom=0.00 pbc="T T T"
Ho -1.256 2.176 0.000
Ho -2.822 4.887 1.876
Ho 2.513 0.000 0.000
Ho 1.757 3.043 1.876
Ho 5.643 0.000 1.876
Ho 3.322 5.754 0.000
Er 0.000 5.287 0.000
Er 4.578 2.643 0.000
Te 0.000 0.000 1.876

---

(22)
3
Lattice="0.000 3.503 3.503 3.503 0.000 3.503 3.503 3.503 0.000" Properties=species:S:1:pos:R:3 comment="LaSmW PBE-GGA optimized geometry" e_form_mev_per_atom=758 e_tot_ry_per_atom=-0.49780 m_tot_mub_per_atom=0.00 pbc="T T T"
La 0.000 0.000 0.000
Sm 3.503 3.503 3.503
W 1.752 1.752 1.752

---

(23)
3
Lattice="0.000 3.502 3.502 3.502 0.000 3.502 3.502 3.502 0.000" Properties=species:S:1:pos:R:3 comment="LaTbCu PBE-GGA optimized geometry" e_form_mev_per_atom=92 e_tot_ry_per_atom=-0.31831 m_tot_mub_per_atom=0.08 pbc="T T T"
La 0.000 0.000 0.000
Tb 3.502 3.502 3.502
Cu 1.751 1.751 1.751

---

(24)
12
Lattice="7.715 0.000 0.000 0.000 4.033 0.000 -1.828 0.000 9.169" Properties=species:S:1:pos:R:3 comment="TmCdAuSe3 PBE-GGA optimized geometry" e_tot_ry_per_atom=-0.29692 m_tot_mub_per_atom=0.00 pbc="T T T"
Tm 1.150 1.008 1.658
Tm 4.737 3.025 7.511
Cd 0.676 3.025 6.672
Cd 5.210 1.008 2.497
Au 2.051 3.025 4.127
Au 3.835 1.008 5.042
Se -0.897 1.008 7.944
Se 0.383 1.008 4.362
Se 3.082 3.025 1.612
Se 2.804 1.008 7.556
Se 5.503 3.025 4.807
Se 6.784 3.025 1.225

---

(25)
4
Lattice="0.000 3.108 3.108 3.108 0.000 3.108 3.108 3.108 0.000" Properties=species:S:1:pos:R:3 comment="ZrFeNiAs PBE-GGA optimized geometry" e_tot_ry_per_atom=-0.51312 m_tot_mub_per_atom=0.58 pbc="T T T"
Zr 0.000 0.000 0.000
Fe 3.108 3.108 3.108
Ni 4.662 4.662 4.662
As 1.554 1.554 1.554

---

(26)
2
Lattice="3.360 0.000 0.000 -1.680 2.910 0.000 0.000 0.000 5.417" Properties=species:S:1:pos:R:3 comment="GdHf PBE-GGA optimized geometry" e_form_mev_per_atom=200 e_tot_ry_per_atom=-0.52218 m_tot_mub_per_atom=0.00 pbc="T T T"
Gd 0.000 0.000 0.000
Hf 1.680 0.970 2.708